VSN2F | PBE+U | optimized geometry

calculated volume = 11.57 Å³/atom
electronic total energy = -5.447 eV/atom
relative energy among the computed polymorphs = 0 meV/atom
magnetic moment = 0.0 Bohr magnetons per cell

abc: 3.9077 3.9077 3.7882
angles: 90.00 90.00 90.00
Site moments in Bohr magnetons follow the coordinates.
Fractional coordinates of all 5 atoms:
1 N 0.0000 0.5000 0.0000  -0.02
2 N 0.5000 0.0000 0.0000  -0.02
3 V 0.0000 0.0000 0.0000  -0.05
4 S 0.5000 0.5000 0.5000  0.06
5 F 0.0000 0.0000 0.5000  0.00